(1)
This record from Alexandria via LeMat-Bulk describes an optimized crystal structure of Ac4ZnRu2. The functional is PBE.

As for the formation energy: -0.15 eV/atom. The value obtained for the size of the total moment is 0.000 μB/cell. The calculation puts the polymorph energy (0 for the lowest one) at 0.00 eV per formula unit.

It has space group Cm (No. 8), with a = 12.689 Å, b = 9.027 Å, c = 8.226 Å, α = 90.00°, β = 110.41° and γ = 90.00°. The asymmetric unit holds Ac at (0.000, 0.000, 0.000), Ac at (0.003, 0.000, 0.489), Ac at (0.215, 0.232, 0.356), Ac at (0.234, 0.223, 0.869), Ac at (0.478, 0.000, 0.465), Ac at (0.496, 0.000, 0.001), Zn at (0.279, 0.500, 0.640), Zn at (0.294, 0.500, 0.142), Ru at (0.267, 0.000, 0.135), Ru at (0.278, 0.000, 0.636) and Ru at (0.440, 0.259, 0.209).

(2)
This record from Alexandria via LeMat-Bulk describes an optimized crystal structure of TaP2IrS. The functional is PBE.

For the raw formation energy, the calculation gives 1.00 eV per atom. The value obtained for the size of the total moment is 1.203 μB/cell. The calculation puts the polymorph energy (0 for the lowest one) at 0.19 eV per formula unit.

It has space group P4/mmm (No. 123), with a = 4.795 Å, b = 4.795 Å, c = 4.596 Å, α = 90.00°, β = 90.00° and γ = 90.00°. The asymmetric unit holds Ta at (0.000, 0.000, 0.000), P at (0.000, 0.500, 0.000), Ir at (0.500, 0.500, 0.500) and S at (0.000, 0.000, 0.500).

(3)
This record from Alexandria via LeMat-Bulk describes an optimized crystal structure of KMn4Au. The functional is PBE.

As for the formation energy: 0.75 eV/atom. The value obtained for the size of the total moment is 63.377 μB/cell.

It has space group F-43m (No. 216), with a = 7.727 Å, b = 7.727 Å, c = 7.727 Å, α = 90.00°, β = 90.00° and γ = 90.00°. The asymmetric unit holds K at (0.000, 0.000, 0.000), Mn at (0.122, 0.122, 0.622) and Au at (0.250, 0.250, 0.250).

(4)
This record from Alexandria via LeMat-Bulk describes an optimized crystal structure of PrTl3Pt8. The functional is PBE.

As for the formation energy: -0.42 eV/atom. The value obtained for the size of the total moment is 0.000 μB/cell.

It has space group R3m (No. 160, hexagonal axes), with a = 5.4945 Å, b = 5.4945 Å, c = 26.7494 Å, α = 90.00°, β = 90.00° and γ = 120.00°. The asymmetric unit holds Pr at (0.0000, 0.0000, 0.0000), Tl at (0.0000, 0.0000, 0.3814), Tl at (0.0000, 0.0000, 0.5031), Tl at (0.0000, 0.0000, 0.8722), Pt at (0.0000, 0.0000, 0.1883), Pt at (0.0000, 0.0000, 0.6882), Pt at (0.0001, 0.5000, 0.4379) and Pt at (0.0015, 0.5008, 0.9385).

no.,energy (eV per atom)
1,-5.33
2,-6.13
3,-6.09
4,-5.44